Density functional theory data (GGA-PBE) for a relaxed DyZrPd4 crystal.

The total energy is -6.15 eV/atom. The value obtained for the formation energy from the elements is -500 meV/atom. For the density of states at the Fermi level, the calculation gives 5.02 states/eV per cell. The value obtained for the energy relative to the lowest polymorph listed for this composition is 0.198 eV per atom.

abc: 3.9143 3.9182 8.1992
angles: 90.00 90.00 90.00
Positions (direct):
Pd1 0.5013 0.9973 0.2623
Pd2 0.0013 0.4973 0.2625
Pd3 0.5013 0.9973 0.7340
Pd4 0.0013 0.4972 0.7338
Dy1 0.5013 0.4973 0.9982
Zr1 0.0013 0.9973 0.4981


Density functional theory data (GGA-PBE) for a relaxed DyZr2Pd8 crystal.

The total energy is -6.47 eV/atom. The value obtained for the formation energy from the elements is -720 meV/atom. For the density of states at the Fermi level, the calculation gives 6.06 states/eV per cell.

abc: 4.1163 6.7014 7.5801
angles: 107.30 105.75 90.00
Positions (direct):
Dy1 0.5000 0.0000 0.0000
Zr1 0.7792 0.3338 0.5583
Zr2 0.2208 0.6662 0.4417
Pd1 0.5992 0.4570 0.1983
Pd2 0.4008 0.5430 0.8017
Pd3 0.1443 0.1966 0.2886
Pd4 0.6811 0.9095 0.3622
Pd5 0.3189 0.0905 0.6378
Pd6 0.0415 0.7177 0.0830
Pd7 0.9585 0.2823 0.9170
Pd8 0.8557 0.8034 0.7114


Density functional theory data (GGA-PBE) for a relaxed Dy3ZrPd12 crystal.

The total energy is -6.17 eV/atom. The value obtained for the formation energy from the elements is -874 meV/atom. For the density of states at the Fermi level, the calculation gives 8.31 states/eV per cell.

abc: 4.1001 4.1001 16.3960
angles: 90.00 90.00 90.00
Positions (direct):
Pd1 0.5000 0.0000 0.6268
Pd2 0.0000 0.5000 0.6268
Pd3 0.5000 0.5000 0.7539
Pd4 0.5000 0.0000 0.3732
Pd5 0.0000 0.5000 0.1190
Pd6 0.0000 0.5000 0.3732
Pd7 0.5000 0.5000 0.0000
Pd8 0.5000 0.0000 0.1190
Pd9 0.5000 0.0000 0.8810
Pd10 0.5000 0.5000 0.5000
Pd11 0.0000 0.5000 0.8810
Pd12 0.5000 0.5000 0.2461
Dy1 0.0000 0.0000 0.5000
Dy2 0.0000 0.0000 0.7522
Dy3 0.0000 0.0000 0.2478
Zr1 0.0000 0.0000 0.0000


Density functional theory data (GGA-PBE) for a relaxed Dy2ZrPd crystal.

The total energy is -6.11 eV/atom. The value obtained for the formation energy from the elements is -377 meV/atom. For the density of states at the Fermi level, the calculation gives 4.53 states/eV per cell.

abc: 3.5122 3.5122 7.8562
angles: 90.00 90.00 90.00
Positions (direct):
Dy1 0.0000 0.0000 0.2187
Dy2 0.0000 0.0000 0.7813
Pd1 0.5000 0.5000 0.0000
Zr1 0.5000 0.5000 0.5000


Repeat the third record exactly.
Density functional theory data (GGA-PBE) for a relaxed Dy3ZrPd12 crystal.

The total energy is -6.17 eV/atom. The value obtained for the formation energy from the elements is -874 meV/atom. For the density of states at the Fermi level, the calculation gives 8.31 states/eV per cell.

abc: 4.1001 4.1001 16.3960
angles: 90.00 90.00 90.00
Positions (direct):
Pd1 0.5000 0.0000 0.6268
Pd2 0.0000 0.5000 0.6268
Pd3 0.5000 0.5000 0.7539
Pd4 0.5000 0.0000 0.3732
Pd5 0.0000 0.5000 0.1190
Pd6 0.0000 0.5000 0.3732
Pd7 0.5000 0.5000 0.0000
Pd8 0.5000 0.0000 0.1190
Pd9 0.5000 0.0000 0.8810
Pd10 0.5000 0.5000 0.5000
Pd11 0.0000 0.5000 0.8810
Pd12 0.5000 0.5000 0.2461
Dy1 0.0000 0.0000 0.5000
Dy2 0.0000 0.0000 0.7522
Dy3 0.0000 0.0000 0.2478
Zr1 0.0000 0.0000 0.0000


What is the formula in the first record? DyZrPd4


Which of these has the lowest formation energy from the elements? Dy3ZrPd12


formation energy from the elements of number 4 (Dy2ZrPd)? -377 meV/atom